Ti9C2O14 | GGA-PBE | relaxed

Values from the calculation:
- energy relative to the elements, uncorrected (eV/atom) = -2.46
- density (g/cm3) = 4.4
- SG = No. 147
- magnetization (Bohr magnetons per cell) = 0.00

a b c (Å): 6.0327 6.0327 8.1031
angles (deg): 90.00 90.00 120.00
Element x y z (fractional)
Ti: 0.9395 0.6580 0.6564
Ti: 0.3333 0.6667 0.0001
Ti: 0.7185 0.0605 0.6564
Ti: 0.6580 0.7185 0.3436
Ti: 0.3420 0.2815 0.6564
Ti: 0.2815 0.9395 0.3436
Ti: 0.0605 0.3420 0.3436
Ti: 0.0000 0.0000 0.0000
Ti: 0.6667 0.3333 0.9999
O: 0.2874 0.3639 0.9004
O: 0.0765 0.7126 0.9004
O: 0.6830 0.0610 0.4081
O: 0.3780 0.3170 0.4081
O: 0.3170 0.9390 0.5919
O: 0.6361 0.9235 0.9004
O: 0.6220 0.6830 0.5919
O: 0.0610 0.3780 0.5919
O: 0.3639 0.0765 0.0996
O: 0.7126 0.6361 0.0996
O: 0.0000 0.0000 0.7389
O: 0.9390 0.6220 0.4081
O: 0.9235 0.2874 0.0996
O: 0.0000 0.0000 0.2611
C: 0.6667 0.3333 0.7534
C: 0.3333 0.6667 0.2466

***

Ti6CO3 | GGA-PBE | relaxed

Values from the calculation:
- energy relative to the elements, uncorrected (eV/atom) = -1.75
- density (g/cm3) = 5.0
- SG = No. 146
- magnetization (Bohr magnetons per cell) = 0.00

a b c (Å): 5.2046 5.2046 5.7481
angles (deg): 63.08 63.08 60.00
Element x y z (fractional)
Ti: 0.9212 0.5793 0.2516
Ti: 0.4246 0.7530 0.7476
Ti: 0.7530 0.0748 0.7476
Ti: 0.5793 0.2480 0.2516
Ti: 0.2480 0.9212 0.2516
Ti: 0.0748 0.4246 0.7476
O: 0.3386 0.3386 0.9842
O: 0.1621 0.1621 0.5137
O: 0.6595 0.6595 0.0215
C: 0.8389 0.8389 0.4832

***

Ti6CO | GGA-PBE | relaxed

Values from the calculation:
- energy relative to the elements, uncorrected (eV/atom) = -0.91
- density (g/cm3) = 4.6
- SG = No. 148
- magnetization (Bohr magnetons per cell) = 0.00
- energy relative to the lowest polymorph listed for this composition (meV per atom) = 0

a b c (Å): 5.1705 5.1704 5.7237
angles (deg): 63.15 63.15 60.00
Element x y z (fractional)
Ti: 0.4092 0.7494 0.7493
Ti: 0.2506 0.9079 0.2507
Ti: 0.5908 0.2506 0.2507
Ti: 0.7494 0.0921 0.7493
Ti: 0.9079 0.5908 0.2507
Ti: 0.0921 0.4092 0.7493
O: 0.0000 0.0000 0.0000
C: 0.5000 0.5000 0.5000

***

Ti8CO3 | GGA-PBE | relaxed

Values from the calculation:
- energy relative to the elements, uncorrected (eV/atom) = -1.43
- density (g/cm3) = 4.8
- SG = No. 166
- magnetization (Bohr magnetons per cell) = 0.00

a b c (Å): 6.0544 6.0513 5.9316
angles (deg): 120.66 90.00 120.02
Element x y z (fractional)
O: 0.5000 0.0000 0.0000
O: 0.0000 0.5000 0.0000
O: 0.5000 0.5000 0.0000
Ti: 0.2512 0.5025 0.7543
Ti: 0.2486 0.0009 0.7538
Ti: 0.2477 0.4954 0.2462
Ti: 0.7514 0.9991 0.2462
Ti: 0.7523 0.0009 0.7538
Ti: 0.7523 0.5046 0.7538
Ti: 0.7488 0.4975 0.2457
Ti: 0.2477 0.9991 0.2462
C: 0.0000 0.0000 0.0000

***

Ti6C2O | GGA-PBE | relaxed

Values from the calculation:
- energy relative to the elements, uncorrected (eV/atom) = -1.06
- density (g/cm3) = 4.7
- SG = No. 136
- magnetization (Bohr magnetons per cell) = 0.00
- energy relative to the lowest polymorph listed for this composition (meV per atom) = 0

a b c (Å): 5.0098 5.0098 9.2668
angles (deg): 90.00 90.00 90.00
Element x y z (fractional)
Ti: 0.2040 0.7960 0.1650
Ti: 0.2986 0.2986 0.0000
Ti: 0.2014 0.7986 0.5000
Ti: 0.7040 0.7040 0.6650
Ti: 0.7014 0.7014 0.0000
Ti: 0.2960 0.2960 0.6650
Ti: 0.2040 0.7960 0.8350
Ti: 0.2960 0.2960 0.3350
Ti: 0.7960 0.2040 0.8350
Ti: 0.7986 0.2014 0.5000
Ti: 0.7960 0.2040 0.1650
Ti: 0.7040 0.7040 0.3350
C: 0.0000 0.0000 0.3316
C: 0.5000 0.5000 0.8316
C: 0.5000 0.5000 0.1684
C: 0.0000 0.0000 0.6684
O: 0.5000 0.5000 0.5000
O: 0.0000 0.0000 0.0000

***

TiCO3 | GGA-PBE | relaxed

Values from the calculation:
- energy relative to the elements, uncorrected (eV/atom) = -0.18
- density (g/cm3) = 3.3
- SG = No. 221
- magnetization (Bohr magnetons per cell) = 0.00

a b c (Å): 3.7947 3.7947 3.7947
angles (deg): 90.00 90.00 90.00
Element x y z (fractional)
C: 0.5000 0.5000 0.5000
O: 0.0000 0.5000 0.0000
O: 0.0000 0.0000 0.5000
O: 0.5000 0.0000 0.0000
Ti: 0.0000 0.0000 0.0000

***

Ti8C4O | GGA-PBE | relaxed

Values from the calculation:
- energy relative to the elements, uncorrected (eV/atom) = -0.94
- density (g/cm3) = 4.5
- SG = No. 216
- magnetization (Bohr magnetons per cell) = 0.00

a b c (Å): 6.1582 6.1582 6.1582
angles (deg): 60.00 60.00 60.00
Element x y z (fractional)
Ti: 0.1308 0.1308 0.6076
Ti: 0.6076 0.1308 0.1308
Ti: 0.6202 0.6202 0.6202
Ti: 0.1308 0.1308 0.1308
Ti: 0.6202 0.1395 0.6202
Ti: 0.1395 0.6202 0.6202
Ti: 0.1308 0.6076 0.1308
Ti: 0.6202 0.6202 0.1395
C: 0.3746 0.3746 0.3746
C: 0.8761 0.3746 0.3746
C: 0.3746 0.3746 0.8761
C: 0.3746 0.8761 0.3746
O: 0.7500 0.7500 0.7500

***

TiC3O | GGA-PBE | relaxed

Values from the calculation:
- energy relative to the elements, uncorrected (eV/atom) = 2.64
- density (g/cm3) = 2.5
- SG = No. 221
- magnetization (Bohr magnetons per cell) = 2.21
- energy relative to the lowest polymorph listed for this composition (meV per atom) = 436

a b c (Å): 4.0690 4.0690 4.0690
angles (deg): 90.00 90.00 90.00
Site moments in Bohr magnetons follow the coordinates.
Element x y z (fractional)
O: 0.5000 0.5000 0.5000  1.35
Ti: 0.0000 0.0000 0.0000  0.22
C: 0.0000 0.0000 0.5000  0.04
C: 0.0000 0.5000 0.0000  0.08
C: 0.5000 0.0000 0.0000  0.10

***

TiC2O | GGA-PBE | relaxed

Values from the calculation:
- energy relative to the elements, uncorrected (eV/atom) = 1.18
- density (g/cm3) = 3.8
- SG = No. 122
- magnetization (Bohr magnetons per cell) = 0.00

a b c (Å): 4.9025 4.9025 4.6992
angles (deg): 58.56 58.56 90.00
Element x y z (fractional)
C: 0.1924 0.6250 0.2500
C: 0.8750 0.8076 0.7500
C: 0.3750 0.4424 0.7500
C: 0.5576 0.1250 0.2500
Ti: 0.0000 0.0000 0.0000
Ti: 0.7500 0.2500 0.5000
O: 0.5000 0.5000 0.0000
O: 0.2500 0.7500 0.5000

***

TiCO2 | GGA-PBE | relaxed

Values from the calculation:
- energy relative to the elements, uncorrected (eV/atom) = -0.36
- density (g/cm3) = 2.1
- SG = No. 122
- magnetization (Bohr magnetons per cell) = 4.00

a b c (Å): 5.9043 5.9043 5.9262
angles (deg): 60.12 60.12 90.00
Site moments in Bohr magnetons follow the coordinates.
Element x y z (fractional)
Ti: 0.0000 0.0000 0.0000  0.00
Ti: 0.7500 0.2500 0.5000  0.00
C: 0.5000 0.5000 0.0000  0.95
C: 0.2500 0.7500 0.5000  0.96
O: 0.3750 0.1478 0.7500  0.02
O: 0.8522 0.1250 0.2500  0.03
O: 0.8750 0.1022 0.7500  0.02
O: 0.8978 0.6250 0.2500  0.03

***

Ti6C3O | GGA-PBE | relaxed

Values from the calculation:
- energy relative to the elements, uncorrected (eV/atom) = -0.81
- density (g/cm3) = 4.6
- SG = No. 12
- magnetization (Bohr magnetons per cell) = 0.00

a b c (Å): 6.0714 4.6772 5.7715
angles (deg): 113.40 121.73 90.00
Element x y z (fractional)
O: 0.5000 0.5000 0.0000
Ti: 0.2377 0.0185 0.4755
Ti: 0.3402 0.3419 0.1774
Ti: 0.6598 0.6581 0.8226
Ti: 0.7623 0.9815 0.5245
Ti: 0.1628 0.6581 0.8226
Ti: 0.8372 0.3419 0.1774
C: 0.2475 0.5557 0.4950
C: 0.0000 0.0000 0.0000
C: 0.7525 0.4443 0.5050